## MnAl2IO8 (PBE with a Hubbard U)

Data for a geometry-optimized MnAl2IO8 structure.

Properties
electronic total energy	-6.251	eV per atom
magnetization	0.17	μB per atom
SG	No. 65

a = 4.526 Å, b = 4.526 Å, c = 5.898 Å
α = 90.00°, β = 90.00°, γ = 92.31°
Fractional positions:
Mn (0.000, 0.000, 0.500)
Al (0.500, 0.500, 0.736)
Al (0.500, 0.500, 0.264)
I (0.000, 0.000, 0.000)
O (0.194, 0.806, 0.247)
O (0.689, 0.689, 0.000)
O (0.806, 0.194, 0.247)
O (0.806, 0.194, 0.753)
O (0.311, 0.311, 0.000)
O (0.194, 0.806, 0.753)
O (0.694, 0.693, 0.500)
O (0.306, 0.307, 0.500)